The following is a DFT calculation (PBE+U) of a relaxed structure of ZnCoO3.

Summary:
- Total energy: -4.296 eV per atom
- Calculated density: 5.4 g cm⁻³

a = 3.7606 Å, b = 3.7606 Å, c = 3.7606 Å
α = 90.00°, β = 90.00°, γ = 90.00°
Last column: magnetic moment on the atom in μB.
Fractional coordinates of all 5 atoms:
Zn: 0.0000 0.0000 0.0000  0.03
Co: 0.5000 0.5000 0.5000  2.74
O: 0.0000 0.5000 0.0000  0.36
O: 0.0000 0.0000 0.5000  0.20
O: 0.5000 0.0000 0.0000  0.34